Compound: TcHg2Ir
Source: the Alexandria database
Functional: PBE
Structure: optimized geometry

The calculation puts the total moment at 2.96 μB/cell. The space-group type is P4/mmm (123). The energy of formation comes out at 732 meV per atom. The calculation puts the energy above the most stable polymorph in this dataset at 0.5208 eV per atom.

Structure (POSCAR):
```
TcHg2Ir
1.0
4.1368 0.0000 0.0000
0.0000 4.1368 0.0000
0.0000 0.0000 4.1932
Tc Hg Ir
1 2 1
Cartesian
0.0000 0.0000 0.0000
0.0000 2.0684 2.0966
2.0684 0.0000 2.0966
2.0684 2.0684 0.0000
```